Record 1
PBr | PBE | optimized geometry

a b c (Å): 4.8437 4.8437 4.8437
angles (deg): 60.00 60.00 60.00
With the nearest neighbours (Å) after each atom.
Fractional coordinates of all 4 atoms:
Br: 0.0000 0.0000 0.0000  4 Br 2.97, 4 P 2.97
P: 0.5000 0.5000 0.5000  4 P 2.97, 4 Br 2.97
P: 0.7500 0.7500 0.7500  4 P 2.97, 4 Br 2.97
Br: 0.2500 0.2500 0.2500  4 P 2.97, 4 Br 2.97

The value obtained for the energy above the most stable polymorph in this dataset is 1083.3 meV/atom. As for the energy relative to the elements, uncorrected: 92 kJ per mole of atoms.

Record 2
Li2Pu2Ni15 | PBE | optimized geometry

a b c (Å): 6.2724 6.2724 6.2724
angles (deg): 83.23 83.23 83.23
With the nearest neighbours (Å) after each atom.
Fractional coordinates of all 19 atoms:
Ni: 0.6916 0.0000 0.3084  8 Ni 2.39-2.57
Ni: 0.3084 0.6916 0.0000  8 Ni 2.39-2.57
Ni: 0.0000 0.0000 0.5000  8 Ni 2.39-2.41, 2 Li 2.56
Ni: 0.0000 0.3084 0.6916  8 Ni 2.39-2.57
Ni: 0.8408 0.3433 0.3433  8 Ni 2.40-2.49, 1 Li 2.62
Ni: 0.6567 0.6567 0.1592  8 Ni 2.40-2.49, 1 Li 2.62
Pu: 0.6571 0.6571 0.6571  18 Ni 2.89-3.21, 1 Li 3.02
Li: 0.9072 0.9072 0.9072  1 Li 2.24
Ni: 0.6567 0.1592 0.6567  8 Ni 2.40-2.49, 1 Li 2.62
Ni: 0.6916 0.3084 0.0000  8 Ni 2.39-2.57
Pu: 0.3429 0.3429 0.3429  18 Ni 2.89-3.21, 1 Li 3.02
Ni: 0.3084 0.0000 0.6916  8 Ni 2.39-2.57
Ni: 0.3433 0.3433 0.8408  8 Ni 2.40-2.49, 1 Li 2.62
Ni: 0.1592 0.6567 0.6567  8 Ni 2.40-2.49, 1 Li 2.62
Ni: 0.5000 0.0000 0.0000  8 Ni 2.39-2.41, 2 Li 2.56
Li: 0.0928 0.0928 0.0928  1 Li 2.24
Ni: 0.0000 0.5000 0.0000  8 Ni 2.39-2.41, 2 Li 2.56
Ni: 0.3433 0.8408 0.3433  8 Ni 2.40-2.49, 1 Li 2.62
Ni: 0.0000 0.6916 0.3084  8 Ni 2.39-2.57

For the formation energy, the calculation gives -137 meV per atom.

Record 3
PmMg2Zn2Au | PBE | optimized geometry

a b c (Å): 4.2274 4.2274 9.1327
angles (deg): 103.38 103.38 90.00
With the nearest neighbours (Å) after each atom.
Fractional coordinates of all 6 atoms:
Zn: 0.8557 0.8557 0.7115  1 Au 2.49
Au: 0.0000 0.0000 0.0000  2 Zn 2.49
Zn: 0.1443 0.1443 0.2885  1 Au 2.49
Pm: 0.5000 0.5000 0.0000  4 Au 2.99
Mg: 0.7500 0.2500 0.5000  4 Zn 2.79, 4 Mg 2.99
Mg: 0.2500 0.7500 0.5000  4 Zn 2.79, 4 Mg 2.99

For the formation energy, the calculation gives -33 meV per atom.

Record 4
K2BrF4 | PBE | optimized geometry

a b c (Å): 6.3066 6.3066 5.7118
angles (deg): 123.51 123.51 90.00
With the nearest neighbours (Å) after each atom.
Fractional coordinates of all 7 atoms:
F: 0.7434 0.7434 0.0000  1 Br 2.17
K: 0.2500 0.7500 0.5000  8 F 2.86
F: 0.2567 0.2567 0.0000  1 Br 2.17
F: 0.2566 0.7433 0.0000  1 Br 2.17
Br: 0.5000 0.5000 0.0000  4 F 2.17
F: 0.7433 0.2566 0.0000  1 Br 2.17
K: 0.7500 0.2500 0.5000  8 F 2.86

As for the energy relative to the elements, uncorrected: -172 kJ per mole of atoms.

Record 5
CaPW | PBE | optimized geometry

a b c (Å): 4.3447 4.3447 4.3447
angles (deg): 60.00 60.00 60.00
With the nearest neighbours (Å) after each atom.
Fractional coordinates of all 3 atoms:
W: 0.0000 0.0000 0.0000  4 P 2.66
Ca: 0.5000 0.5000 0.5000  4 P 2.66
P: 0.2500 0.2500 0.2500  4 Ca 2.66, 4 W 2.66

The value obtained for the energy above the most stable polymorph in this dataset is 797.4 meV/atom. For the formation energy, the calculation gives 337 meV per atom.

Record 6
GaHgB | PBE | optimized geometry

a b c (Å): 3.0997 10.1720 3.7949
angles (deg): 106.78 89.77 99.62
With the nearest neighbours (Å) after each atom.
Fractional coordinates of all 6 atoms:
B: 0.6543 0.6331 0.2121  2 B 1.70
Hg: 0.9086 0.2645 0.4764  2 Ga 2.81-2.96, 4 Hg 3.01-3.10
Hg: 0.9117 0.0241 0.7871  2 Ga 2.81-2.96, 4 Hg 3.01-3.10
Ga: 0.2298 0.7713 0.6485  4 B 2.18-2.40
B: 0.1674 0.6556 0.0536  2 B 1.70
Ga: 0.5919 0.5175 0.6173  4 B 2.18-2.40

For the formation energy, the calculation gives 220 meV per atom.

Number 1: raw total energy -2.59 eV/atom. Number 2: raw total energy -6.41 eV/atom. Number 3: raw total energy -2.33 eV/atom. Number 4: raw total energy -3.41 eV/atom. Number 5: raw total energy -6.45 eV/atom. Number 6: raw total energy -3.12 eV/atom.